Record 1
6
Lattice="-1.598 -4.246 -2.440 0.341 -2.657 4.402 -7.328 1.805 1.659" Properties=species:S:1:pos:R:3 comment="Sm4MgHg, relaxed, DFT PBE" ef_ev_per_atom=0.137 sg=P4/mmm n_ef_per_ev_cell=9.21 volume_a3_per_cell=205 pbc="T T T"
Hg -3.313 -1.756 5.214
Sm -5.872 -3.445 4.392
Sm -1.722 -0.861 2.614
Sm -5.243 0.006 3.411
Mg -7.945 -1.648 2.619
Sm -2.350 -4.312 3.594

Record 2
14
Lattice="7.736 -0.120 0.207 -2.731 7.239 -0.207 -2.274 -3.720 6.395" Properties=species:S:1:pos:R:3 comment="Cs5PdF8, relaxed, DFT PBE" e_form_raw_ev_per_atom=-2.244 sg=I-4 n_ef_per_ev_cell=23.36 volume_a3_per_cell=355 pbc="T T T"
Cs -1.276 2.299 1.045
Cs 0.321 -2.603 6.245
F 4.291 0.264 2.050
F -2.567 3.842 3.128
F -2.429 1.423 6.080
F 2.210 -0.450 5.818
F 1.528 3.141 1.794
Cs 2.731 -1.920 3.301
Cs 2.904 1.875 4.017
F 0.077 0.231 3.313
Cs 3.512 5.226 1.482
F -0.113 2.458 4.957
Pd -1.137 0.799 4.744
F -2.083 -0.914 4.626

Number 1: E -19.95 eV/cell. Number 2: E -55.84 eV/cell.